## KCu2Tc (GGA-PBE)

Data for a relaxed KCu2Tc crystal.

Properties
D(E_F)   4.603 states/eV/cell
Energy of formation   774.4 meV/atom

Lattice parameters (Å, degrees): 7.1989 7.2472 2.5830 90.00 90.00 90.00
Closest atoms and distances in Å follow each position.
Fractional coordinates of all 8 atoms:
K: 0.0000 0.0000 0.0000  2 K 2.58, 8 Cu 2.86
K: 0.5000 0.5000 0.0000  2 K 2.58, 8 Cu 2.86
Cu: 0.2500 0.2500 0.5000  2 Cu 2.58, 4 K 2.86, 4 Tc 2.86
Cu: 0.2500 0.7500 0.5000  2 Cu 2.58, 4 K 2.86, 4 Tc 2.86
Cu: 0.7500 0.2500 0.5000  2 Cu 2.58, 4 K 2.86, 4 Tc 2.86
Cu: 0.7500 0.7500 0.5000  2 Cu 2.58, 4 Tc 2.86, 4 K 2.86
Tc: 0.0000 0.5000 0.0000  2 Tc 2.58, 8 Cu 2.86
Tc: 0.5000 0.0000 0.0000  2 Tc 2.58, 8 Cu 2.86

## HfAl3 (GGA-PBE)

Data for a relaxed HfAl3 crystal.

Properties
D(E_F)   1.934 states/eV/cell
Energy of formation   -195.6 meV/atom

Lattice parameters (Å, degrees): 2.8431 4.9171 5.1191 90.00 90.00 90.00
Closest atoms and distances in Å follow each position.
Fractional coordinates of all 4 atoms:
Hf: 0.0000 0.0000 0.0000  2 Hf 2.84, 10 Al 2.92-2.98
Al: 0.0000 0.5000 0.3266  10 Al 2.84-2.97, 2 Hf 2.97
Al: 0.5000 0.0000 0.4993  8 Al 2.84-2.97, 4 Hf 2.92-2.93
Al: 0.5000 0.5000 0.8223  8 Al 2.84-2.96, 4 Hf 2.98

## KCdCl2 (GGA-PBE)

Data for a relaxed KCdCl2 crystal.

Properties
D(E_F)   3.424 states/eV/cell
E_form (uncorrected)   -4.28 eV per formula unit

Lattice parameters (Å, degrees): 4.7696 6.2682 7.7119 90.00 90.00 90.00
Closest atoms and distances in Å follow each position.
Fractional coordinates of all 8 atoms:
K: 0.0000 0.0000 0.0000  8 Cl 3.22-3.56
K: 0.5000 0.5000 0.5000  8 Cl 3.22-3.56
Cd: 0.0000 0.0000 0.5000  4 Cl 2.92
Cd: 0.5000 0.5000 0.0000  4 Cl 2.92
Cl: 0.0000 0.5000 0.2192  2 Cd 2.92, 2 K 3.22
Cl: 0.0000 0.5000 0.7808  2 Cd 2.92, 2 K 3.22
Cl: 0.5000 0.0000 0.2808  2 Cd 2.92, 2 K 3.22
Cl: 0.5000 0.0000 0.7192  2 Cd 2.92, 2 K 3.22

## Ba2Ag2Pd (GGA-PBE)

Data for a relaxed Ba2Ag2Pd crystal.

Properties
D(E_F)   2.157 states/eV/cell
Energy of formation   -42.6 meV/atom

Lattice parameters (Å, degrees): 8.8082 8.8082 4.4459 90.00 90.00 90.00
Closest atoms and distances in Å follow each position.
Fractional coordinates of all 10 atoms:
Ba: 0.1822 0.3178 0.0000  2 Pd 3.23, 6 Ag 3.38-3.48
Ba: 0.3178 0.8178 0.0000  2 Pd 3.23, 6 Ag 3.38-3.48
Ba: 0.6822 0.1822 0.0000  2 Pd 3.23, 6 Ag 3.38-3.48
Ba: 0.8178 0.6822 0.0000  2 Pd 3.23, 6 Ag 3.38-3.48
Ag: 0.1134 0.6134 0.5000  1 Ag 2.83
Ag: 0.3866 0.1134 0.5000  1 Ag 2.83
Ag: 0.6134 0.8866 0.5000  1 Ag 2.83
Ag: 0.8866 0.3866 0.5000  1 Ag 2.83
Pd: 0.0000 0.0000 0.0000  4 Ba 3.23
Pd: 0.5000 0.5000 0.0000  4 Ba 3.23

## Te2PbCl (GGA-PBE)

Data for a relaxed Te2PbCl crystal.

Properties
D(E_F)   3.218 states/eV/cell
E_form (uncorrected)   -0.36 eV per formula unit

Lattice parameters (Å, degrees): 3.7026 7.0414 9.9154 90.00 90.00 90.00
Closest atoms and distances in Å follow each position.
Fractional coordinates of all 8 atoms:
Te: 0.0000 0.0000 0.0000  2 Te 2.84
Te: 0.0000 0.5000 0.2166  2 Te 2.84
Te: 0.5000 0.0000 0.2166  2 Te 2.84
Te: 0.5000 0.5000 0.0000  2 Te 2.84
Pb: 0.0000 0.5000 0.7066  2 Cl 2.87
Pb: 0.5000 0.0000 0.7066  2 Cl 2.87
Cl: 0.0000 0.0000 0.4854  2 Pb 2.87
Cl: 0.5000 0.5000 0.4854  2 Pb 2.87

## Nb2SnBMo (GGA-PBE)

Data for a relaxed Nb2SnBMo crystal.

Properties
D(E_F)   4.734 states/eV/cell
Energy of formation   451.0 meV/atom

Lattice parameters (Å, degrees): 4.4205 4.4205 4.3293 90.00 90.00 90.00
Closest atoms and distances in Å follow each position.
Fractional coordinates of all 5 atoms:
Nb: 0.0000 0.5000 0.0000  2 B 2.21
Nb: 0.5000 0.0000 0.0000  2 B 2.21
Sn: 0.0000 0.0000 0.5000  2 B 2.16
B: 0.0000 0.0000 0.0000  2 Sn 2.16, 4 Nb 2.21
Mo: 0.5000 0.5000 0.5000  8 Nb 3.09, 4 Sn 3.13

## RbTaI3 (GGA-PBE)

Data for a relaxed RbTaI3 crystal.

Properties
D(E_F)   22.821 states/eV/cell
E_form (uncorrected)   5.68 eV per formula unit

Lattice parameters (Å, degrees): 6.5974 6.5974 6.5974 90.00 90.00 90.00
Closest atoms and distances in Å follow each position.
Fractional coordinates of all 5 atoms:
Rb: 0.0000 0.0000 0.0000  6 I 3.30
Ta: 0.5000 0.5000 0.5000  12 I 4.67
I: 0.0000 0.0000 0.5000  2 Rb 3.30
I: 0.0000 0.5000 0.0000  2 Rb 3.30
I: 0.5000 0.0000 0.0000  2 Rb 3.30

## PrErSiAu (GGA-PBE)

Data for a relaxed PrErSiAu crystal.

Properties
D(E_F)   15.467 states/eV/cell
E_form (uncorrected)   -2.45 eV per formula unit

Lattice parameters (Å, degrees): 7.2644 7.2644 7.2644 90.00 90.00 90.00
Closest atoms and distances in Å follow each position.
Fractional coordinates of all 16 atoms:
Pr: 0.0000 0.0000 0.0000  4 Si 3.15, 4 Au 3.15
Pr: 0.0000 0.5000 0.5000  4 Si 3.15, 4 Au 3.15
Pr: 0.5000 0.0000 0.5000  4 Si 3.15, 4 Au 3.15
Pr: 0.5000 0.5000 0.0000  4 Si 3.15, 4 Au 3.15
Er: 0.0000 0.0000 0.5000  4 Au 3.15, 4 Si 3.15
Er: 0.0000 0.5000 0.0000  4 Au 3.15, 4 Si 3.15
Er: 0.5000 0.0000 0.0000  4 Au 3.15, 4 Si 3.15
Er: 0.5000 0.5000 0.5000  4 Au 3.15, 4 Si 3.15
Si: 0.2500 0.2500 0.2500  4 Er 3.15, 4 Pr 3.15
Si: 0.2500 0.7500 0.7500  4 Pr 3.15, 4 Er 3.15
Si: 0.7500 0.2500 0.7500  4 Pr 3.15, 4 Er 3.15
Si: 0.7500 0.7500 0.2500  4 Pr 3.15, 4 Er 3.15
Au: 0.2500 0.2500 0.7500  4 Pr 3.15, 4 Er 3.15
Au: 0.2500 0.7500 0.2500  4 Pr 3.15, 4 Er 3.15
Au: 0.7500 0.2500 0.2500  4 Pr 3.15, 4 Er 3.15
Au: 0.7500 0.7500 0.7500  4 Pr 3.15, 4 Er 3.15

Copy entry 3 word for word.
## KCdCl2 (GGA-PBE)

Data for a relaxed KCdCl2 crystal.

Properties
D(E_F)   3.424 states/eV/cell
E_form (uncorrected)   -4.28 eV per formula unit

Lattice parameters (Å, degrees): 4.7696 6.2682 7.7119 90.00 90.00 90.00
Closest atoms and distances in Å follow each position.
Fractional coordinates of all 8 atoms:
K: 0.0000 0.0000 0.0000  8 Cl 3.22-3.56
K: 0.5000 0.5000 0.5000  8 Cl 3.22-3.56
Cd: 0.0000 0.0000 0.5000  4 Cl 2.92
Cd: 0.5000 0.5000 0.0000  4 Cl 2.92
Cl: 0.0000 0.5000 0.2192  2 Cd 2.92, 2 K 3.22
Cl: 0.0000 0.5000 0.7808  2 Cd 2.92, 2 K 3.22
Cl: 0.5000 0.0000 0.2808  2 Cd 2.92, 2 K 3.22
Cl: 0.5000 0.0000 0.7192  2 Cd 2.92, 2 K 3.22